Material: Ca2MgCu
Method: DFT, GGA-PBE
State: relaxed

```
Ca2MgCu
1.0
3.544 0.000 0.000
0.000 3.544 0.000
0.000 0.000 8.610
Ca Mg Cu
2 1 1
Direct
0.000 0.000 0.000 Ca
0.500 0.500 0.363 Ca
0.500 0.500 0.728 Mg
0.000 0.000 0.584 Cu
```


Material: Ca2MgCu2
Method: DFT, GGA-PBE
State: relaxed

```
Ca2MgCu2
1.0
1.901 -9.423 0.000
1.901 9.423 0.000
0.000 0.000 6.638
Ca Mg Cu
4 2 4
Direct
0.089 0.911 0.500 Ca
0.270 0.730 0.694 Ca
0.730 0.270 0.194 Ca
0.911 0.089 0.000 Ca
0.080 0.920 0.005 Mg
0.920 0.080 0.505 Mg
0.351 0.649 0.293 Cu
0.492 0.508 0.258 Cu
0.508 0.492 0.758 Cu
0.649 0.351 0.793 Cu
```


no.,formation enthalpy at 0 K (eV per atom),volume (Å³ per cell),energy (eV per atom)
1,-0.036,108,-2.46
2,-0.050,238,-2.81